# 1
Below is a relaxed structure of AcZrNp, with properties calculated at the PBE-GGA level.

Lattice parameters (Å, degrees): 7.1350 7.1350 7.1350 90.00 90.00 90.00
Last column: nearest neighbours and their distance in Å.
Space group F-43m (No. 216)
Inequivalent atoms, fractional coordinates:
Ac1 0.0000 0.0000 0.0000 (multiplicity 4)  4 Np 3.09
Zr1 0.0000 0.0000 0.5000 (multiplicity 4)  4 Np 3.09
Np1 0.2500 0.2500 0.2500 (multiplicity 4)  4 Zr 3.09, 4 Ac 3.09

## Properties
Size of the total moment   24.50 μB per cell
Offset from the most stable computed form   0.00 eV per formula unit
Total energy   -86.5 eV per cell

# 2
Below is a relaxed structure of FeSn3, with properties calculated at the PBE-GGA level.

Lattice parameters (Å, degrees): 16.8918 6.4239 6.4438 90.00 90.00 90.00
Last column: nearest neighbours and their distance in Å.
Space group Cmce (No. 64)
Inequivalent atoms, fractional coordinates:
Fe1 0.0739 0.0000 0.0000 (multiplicity 8)  1 Fe 2.50, 4 Sn 2.72
Sn1 0.0000 0.1592 0.3407 (multiplicity 8)  4 Fe 2.72, 1 Sn 2.90
Sn2 0.1638 0.1834 0.6825 (multiplicity 16)  2 Fe 2.80-2.81, 2 Sn 3.04-3.12

## Properties
Size of the total moment   11.51 μB per cell
Total energy   -161.1 eV per cell